Computed, not measured: a relaxed structure of Ac2FeHgO6 at the PBE with a Hubbard U level of DFT.

The space group is P4mm (No. 99) and the conventional cell measures 5.589, 5.589 and 5.076 Å, with angles of 90.00, 90.00 and 90.00 degrees. The inequivalent atoms are Ac at (0.000, 0.500, 0.000), Fe at (0.000, 0.000, 0.582), Hg at (0.500, 0.500, 0.512), O at (0.000, 0.000, 0.202), O at (0.231, 0.231, 0.697) and O at (0.500, 0.500, 0.086).

The total energy is -6.38 eV per atom.